Entry 1:
DFT (PBE-GGA) results for BeIr2 after structural relaxation.

## Properties
SG	P6_3/mmc (194)
M_tot	0.000	μB/f.u.
uncorrected energy	-80.4	eV for the cell shown
Fermi-level density of states	2.1	states/eV/f.u.
density	14.14	Mg/m³

Structure (POSCAR):
```
BeIr2
1.0
5.061 0.000 0.000
-2.530 4.383 0.000
0.000 0.000 8.332
Ir Be
8 4
direct
0.656 0.828 0.750
0.172 0.828 0.750
0.000 0.000 0.000
0.828 0.172 0.250
0.828 0.656 0.250
0.344 0.172 0.250
0.172 0.344 0.750
0.000 0.000 0.500
0.667 0.333 0.605
0.667 0.333 0.895
0.333 0.667 0.105
0.333 0.667 0.395
```

Entry 2:
DFT (PBE-GGA) results for CaPaIr2 after structural relaxation.

## Properties
SG	P4/mmm (123)
M_tot	0.000	μB/f.u.
uncorrected energy	-31.9	eV for the cell shown
Fermi-level density of states	2.3	states/eV/f.u.
density	12.60	Mg/m³

Structure (POSCAR):
```
CaPaIr2
1.0
-1.638 1.138 -2.842
2.530 -1.312 -1.983
-3.559 -6.207 -0.433
Ir Pa Ca
2 1 1
direct
0.000 0.000 0.209
0.000 0.000 0.791
0.500 0.500 0.000
0.500 0.500 0.500
```

Q: What is the formula in the first record?
A: BeIr2

Q: What is the density in the second record?
A: 12.60 Mg/m³

Q: The lowest Fermi-level density of states belongs to which entry?
A: BeIr2

Q: Look up the Fermi-level density of states of the first one.
A: 2.1 states/eV/f.u.